Material: Pr6Hg5Ge
Method: DFT, PBE
State: relaxed

Calculated values
The total energy comes out at -3.415 eV per atom. The density of states at the Fermi level comes out at 15.09 states/eV/cell. As for the crystal system: orthorhombic.

Cell: 9.4461 9.4461 9.4461 Å, 146.78 132.20 59.44°
Atoms (fractional coordinates):
Pr  0.0808  0.3405  0.7403
Pr  0.2345  0.0000  0.2345
Pr  0.3998  0.6595  0.7403
Pr  0.6002  0.3405  0.2597
Pr  0.7655  0.0000  0.7655
Pr  0.9192  0.6595  0.2597
Hg  0.1828  0.1828  0.0000
Hg  0.3328  0.8328  0.5000
Hg  0.5000  0.5000  0.0000
Hg  0.6672  0.1672  0.5000
Hg  0.8172  0.8172  0.0000
Ge  0.0000  0.5000  0.5000